# TiHg2WSe, single point on PBEsol structure, DFT SCAN
# Fermi-level density of states, states/eV/f.u.: 3.403
# Formation energy from raw total energies, eV per atom: 1.02
# ρ, g/cm3: 9.4
# Crystal system: tetragonal
data_TiHg2WSe
_cell_length_a 5.2173
_cell_length_b 5.2173
_cell_length_c 4.6217
_cell_angle_alpha 90.00
_cell_angle_beta 90.00
_cell_angle_gamma 90.00
_symmetry_space_group_name_H-M 'P 4/m m m'
_symmetry_Int_Tables_number 123
_symmetry_space_group_name_Hall '-P 4 2'
loop_
_atom_site_label
_atom_site_type_symbol
_atom_site_fract_x
_atom_site_fract_y
_atom_site_fract_z
Ti1 Ti 0.0000 0.0000 0.0000
Hg1 Hg 0.0000 0.5000 0.5000
W1 W 0.0000 0.0000 0.5000
Se1 Se 0.5000 0.5000 0.0000

# RbBaHf2, single point on PBEsol structure, DFT SCAN
# Fermi-level density of states, states/eV/f.u.: 5.534
# Calculated formation energy, meV per atom: 1621
# ρ, g/cm3: 7.8
# Crystal system: cubic
data_RbBaHf2
_cell_length_a 7.9195
_cell_length_b 7.9195
_cell_length_c 7.9195
_cell_angle_alpha 90.00
_cell_angle_beta 90.00
_cell_angle_gamma 90.00
_symmetry_space_group_name_H-M 'F m -3 m'
_symmetry_Int_Tables_number 225
_symmetry_space_group_name_Hall '-F 4 2 3'
loop_
_atom_site_label
_atom_site_type_symbol
_atom_site_fract_x
_atom_site_fract_y
_atom_site_fract_z
Rb1 Rb 0.0000 0.0000 0.0000
Ba1 Ba 0.0000 0.0000 0.5000
Hf1 Hf 0.2500 0.2500 0.2500

# Cs2YTlI6, single point on PBEsol structure, DFT SCAN
# Fermi-level density of states, states/eV/f.u.: 0.000
# Formation energy from raw total energies, eV per atom: -1.45
# ρ, g/cm3: 4.5
# Crystal system: cubic
data_Cs2YTlI6
_cell_length_a 12.4775
_cell_length_b 12.4775
_cell_length_c 12.4775
_cell_angle_alpha 90.00
_cell_angle_beta 90.00
_cell_angle_gamma 90.00
_symmetry_space_group_name_H-M 'F m -3 m'
_symmetry_Int_Tables_number 225
_symmetry_space_group_name_Hall '-F 4 2 3'
loop_
_atom_site_label
_atom_site_type_symbol
_atom_site_fract_x
_atom_site_fract_y
_atom_site_fract_z
Cs1 Cs 0.2500 0.2500 0.2500
Y1 Y 0.0000 0.0000 0.0000
Tl1 Tl 0.0000 0.0000 0.5000
I1 I 0.0000 0.0000 0.2385

# KNaN2, single point on PBEsol structure, DFT SCAN
# Fermi-level density of states, states/eV/f.u.: 2.285
# Formation energy from raw total energies, eV per atom: 1.16
# ρ, g/cm3: 2.3
# Crystal system: cubic
data_KNaN2
_cell_length_a 6.4106
_cell_length_b 6.4106
_cell_length_c 6.4106
_cell_angle_alpha 90.00
_cell_angle_beta 90.00
_cell_angle_gamma 90.00
_symmetry_space_group_name_H-M 'F m -3 m'
_symmetry_Int_Tables_number 225
_symmetry_space_group_name_Hall '-F 4 2 3'
loop_
_atom_site_label
_atom_site_type_symbol
_atom_site_fract_x
_atom_site_fract_y
_atom_site_fract_z
K1 K 0.0000 0.0000 0.0000
Na1 Na 0.0000 0.0000 0.5000
N1 N 0.2500 0.2500 0.2500

# AlGaW3, single point on PBEsol structure, DFT SCAN
# Fermi-level density of states, states/eV/f.u.: 5.493
# Calculated formation energy, meV per atom: 1999
# ρ, g/cm3: 11.8
# Crystal system: cubic
data_AlGaW3
_cell_length_a 4.4970
_cell_length_b 4.4970
_cell_length_c 4.4970
_cell_angle_alpha 90.00
_cell_angle_beta 90.00
_cell_angle_gamma 90.00
_symmetry_space_group_name_H-M 'P m -3 m'
_symmetry_Int_Tables_number 221
_symmetry_space_group_name_Hall '-P 4 2 3'
loop_
_atom_site_label
_atom_site_type_symbol
_atom_site_fract_x
_atom_site_fract_y
_atom_site_fract_z
Al1 Al 0.0000 0.0000 0.0000
Ga1 Ga 0.5000 0.5000 0.5000
W1 W 0.0000 0.0000 0.5000

# HfGaSi3, single point on PBEsol structure, DFT SCAN
# Fermi-level density of states, states/eV/f.u.: 1.688
# Formation energy from raw total energies, eV per atom: 0.84
# ρ, g/cm3: 4.4
# Crystal system: cubic
data_HfGaSi3
_cell_length_a 4.9943
_cell_length_b 4.9943
_cell_length_c 4.9943
_cell_angle_alpha 90.00
_cell_angle_beta 90.00
_cell_angle_gamma 90.00
_symmetry_space_group_name_H-M 'P m -3 m'
_symmetry_Int_Tables_number 221
_symmetry_space_group_name_Hall '-P 4 2 3'
loop_
_atom_site_label
_atom_site_type_symbol
_atom_site_fract_x
_atom_site_fract_y
_atom_site_fract_z
Hf1 Hf 0.0000 0.0000 0.0000
Ga1 Ga 0.5000 0.5000 0.5000
Si1 Si 0.0000 0.0000 0.5000

Q: Which of these has the highest ρ?
A: AlGaW3

Q: Which value of ρ does entry 6 give?
A: 4.4 g/cm3

Please write out number 6 again, unchanged.
# HfGaSi3, single point on PBEsol structure, DFT SCAN
# Fermi-level density of states, states/eV/f.u.: 1.688
# Formation energy from raw total energies, eV per atom: 0.84
# ρ, g/cm3: 4.4
# Crystal system: cubic
data_HfGaSi3
_cell_length_a 4.9943
_cell_length_b 4.9943
_cell_length_c 4.9943
_cell_angle_alpha 90.00
_cell_angle_beta 90.00
_cell_angle_gamma 90.00
_symmetry_space_group_name_H-M 'P m -3 m'
_symmetry_Int_Tables_number 221
_symmetry_space_group_name_Hall '-P 4 2 3'
loop_
_atom_site_label
_atom_site_type_symbol
_atom_site_fract_x
_atom_site_fract_y
_atom_site_fract_z
Hf1 Hf 0.0000 0.0000 0.0000
Ga1 Ga 0.5000 0.5000 0.5000
Si1 Si 0.0000 0.0000 0.5000